A plane-wave DFT calculation with GGA-PBE was carried out for an optimized crystal structure of Sr2NpHgTe5.

a = 4.513 Å, b = 19.747 Å, c = 13.936 Å
α = 90.00°, β = 90.00°, γ = 90.00°
Space group Cmc2_1 (No. 36)
Symmetry-distinct sites (fractional):
Sr  0.000  0.114  0.000 x4
Sr  0.000  0.125  0.635 x4
Np  0.000  0.204  0.332 x4
Hg  0.000  0.447  0.761 x4
Te  0.000  0.053  0.384 x4
Te  0.000  0.290  0.982 x4
Te  0.000  0.302  0.678 x4
Te  0.000  0.358  0.321 x4
Te  0.000  0.497  0.080 x4

Computed properties:
- Total moment: 11.998 μB per cell
- DOS at the Fermi energy: 7.98 states/eV/f.u.
- Energy: -4.55 eV/atom
- Mass density: 6.69 g/cm3

A plane-wave DFT calculation with GGA-PBE was carried out for an optimized crystal structure of BaCdInGa2.

a = 4.751 Å, b = 4.751 Å, c = 11.563 Å
α = 90.00°, β = 90.00°, γ = 90.00°
Space group I-4m2 (No. 119)
Symmetry-distinct sites (fractional):
Ba  0.000  0.000  0.000 x2
Cd  0.000  0.500  0.250 x2
In  0.000  0.500  0.750 x2
Ga  0.000  0.000  0.389 x4

Computed properties:
- Total moment: 0.000 μB per cell
- DOS at the Fermi energy: 1.56 states/eV/f.u.
- Energy: -2.72 eV/atom
- Energy of formation from the pure elements: -0.39 eV/atom
- Mass density: 6.41 g/cm3

A plane-wave DFT calculation with GGA-PBE was carried out for an optimized crystal structure of Tl5AsSe6.

a = 7.185 Å, b = 12.553 Å, c = 7.762 Å
α = 90.00°, β = 107.60°, γ = 90.00°
Space group C2/m (No. 12)
Symmetry-distinct sites (fractional):
Tl  0.000  0.000  0.000 x2
Tl  0.000  0.164  0.500 x4
Tl  0.000  0.330  0.000 x4
As  0.000  0.500  0.500 x2
Se  0.228  0.342  0.711 x8
Se  0.242  0.500  0.281 x4

Computed properties:
- Total moment: 0.000 μB per cell
- DOS at the Fermi energy: 2.39 states/eV/f.u.
- Energy: -3.35 eV/atom
- Mass density: 7.82 g/cm3